VASP calculation (PBE) on a relaxed structure of PaTlCoS4. Values from VASP.

```
&SYSTEM
  ibrav = 0, nat = 14, ntyp = 4
/
ATOMIC_SPECIES
Pa 231.04 Pa.upf
Tl 204.38 Tl.upf
Co 58.93 Co.upf
S 32.06 S.upf
CELL_PARAMETERS angstrom
-0.6916 -6.2010 2.0562
2.9928 1.2238 4.6975
-6.9751 4.5731 3.2525
ATOMIC_POSITIONS angstrom
Pa -1.3928 -1.6152 6.5005
Pa -3.2811 1.2112 3.5057
Tl -4.8903 0.7296 8.1179
Tl 0.2164 -1.1336 1.8883
Co -0.2723 0.9898 5.1079
Co -4.4016 -1.3938 4.8982
S -3.3730 3.7355 4.6957
S -2.7468 -4.7308 3.0410
S -1.3010 -4.1395 5.3104
S -1.9271 4.3267 6.9651
S 0.6909 -1.0133 5.0161
S -5.3648 0.6092 4.9900
S -2.1317 0.9619 6.2998
S -2.5422 -1.3659 3.7063
```

Results
crystal system	monoclinic
magnetization	0.26	μB per atom
uncorrected energy	-83.79	eV for the cell shown
uncorrected formation energy	-917	meV/atom
mass density	6.4	g/cm3

---

VASP calculation (PBE) on a relaxed structure of Pa3CoSb. Values from VASP.

```
&SYSTEM
  ibrav = 0, nat = 5, ntyp = 3
/
ATOMIC_SPECIES
Sb 121.76 Sb.upf
Pa 231.04 Pa.upf
Co 58.93 Co.upf
CELL_PARAMETERS angstrom
-4.0662 1.6027 2.5009
-2.8099 -0.7007 -4.1196
-0.9632 -4.7220 1.4601
ATOMIC_POSITIONS angstrom
Sb -3.9196 -1.9100 -0.0793
Pa -1.4049 -0.3503 -2.0598
Pa -0.4816 -2.3610 0.7301
Pa -2.0331 0.8014 1.2504
Co 0.0000 0.0000 0.0000
```

Results
crystal system	cubic
magnetization	0.02	μB per atom
uncorrected energy	-39.79	eV for the cell shown
uncorrected formation energy	-15	meV/atom
mass density	11.4	g/cm3

---

VASP calculation (PBE) on a relaxed structure of Pa5Co3Sb12. Values from VASP.

```
&SYSTEM
  ibrav = 0, nat = 80, ntyp = 3
/
ATOMIC_SPECIES
Co 58.93 Co.upf
Pa 231.04 Pa.upf
Sb 121.76 Sb.upf
CELL_PARAMETERS angstrom
-7.5371 -0.6776 -12.5978
13.4603 -5.5339 -2.0410
-6.9884 -7.7934 10.3148
ATOMIC_POSITIONS angstrom
Co -1.4788 -3.5576 -8.9243
Co 2.6267 -5.7176 -11.2644
Co 2.9011 -9.2755 0.1919
Co -2.8224 -3.7837 0.4635
Co -6.6595 -3.2330 -8.6995
Co 3.8392 -5.6612 -3.4211
Co -4.9044 -8.3438 -0.9028
Co 5.5944 -10.7720 4.3755
Co 1.7572 -10.2213 -4.7874
Co -3.9663 -4.7295 -4.5158
Co -3.6919 -8.2874 6.9405
Co 0.4136 -10.4474 4.6004
Pa 2.3584 -4.1083 0.2386
Pa 6.7302 -2.7670 -1.0205
Pa 0.0000 0.0000 0.0000
Pa -0.3349 -2.6118 -3.9451
Pa -7.2627 -4.2355 -1.1415
Pa 2.9616 -3.1058 -7.3194
Pa 6.5325 -7.1577 0.7626
Pa -10.0851 -8.0192 -0.6780
Pa 0.1392 -6.8895 -6.8559
Pa -6.3852 -6.7909 2.7568
Pa 5.3200 -7.2141 -7.0808
Pa -0.5326 -7.0025 -2.1620
Pa -3.7686 -0.3388 -6.2989
Pa -3.4942 -3.8967 5.1574
Pa -1.2044 -7.1155 2.5320
Pa 9.0200 -5.9858 -3.6460
Pa 3.2360 -6.6637 4.1369
Pa -7.5976 -6.8473 -5.0865
Pa -0.7303 -11.3932 -0.3789
Pa -3.4235 -9.8967 -4.5625
Sb -4.5549 -1.8101 -8.9104
Sb 2.1469 -6.9745 -0.6055
Sb -3.6097 -4.6395 -9.8117
Sb -1.8371 -2.7509 -6.5328
Sb 0.6837 -9.8316 -2.5082
Sb -0.8185 -4.9860 -10.9300
Sb 5.0058 -7.2583 -1.8126
Sb 10.5326 -5.8185 -1.0660
Sb 3.5885 -10.7101 -1.8001
Sb 1.5804 -5.3341 -8.9716
Sb -2.6013 -5.7691 -6.4013
Sb 6.0730 -6.4631 -11.5537
Sb 5.1429 -8.7578 2.8794
Sb 2.3963 -3.7743 -4.3468
Sb 9.2626 -8.3062 0.3158
Sb -4.9431 -5.1814 0.6827
Sb -0.3998 -3.0077 0.6302
Sb 5.5729 -4.3574 -6.2159
Sb 3.7669 -7.3176 -9.6399
Sb 3.7591 -2.4892 -1.8563
Sb 4.3329 -11.1813 1.0957
Sb 1.6922 -6.7177 -4.3003
Sb -0.1144 -9.7369 -7.7504
Sb -7.3276 -9.1107 -1.0992
Sb -2.7573 -7.2872 -0.0237
Sb -0.9508 -4.2681 3.4264
Sb 6.2625 -4.8943 -3.2247
Sb -4.8320 -6.6874 5.3160
Sb -5.3980 -2.8237 -5.4196
Sb -4.8243 -11.5158 -2.4676
Sb -6.6380 -9.6476 1.8920
Sb 3.8779 -8.8236 -5.0066
Sb -0.6654 -10.9973 -4.9542
Sb -10.3277 -5.6988 -4.6397
Sb -6.2080 -5.2472 -7.2033
Sb -7.1382 -7.5419 7.2298
Sb -3.4615 -10.2307 0.0228
Sb -4.6537 -3.2948 -2.5238
Sb -2.6455 -8.6709 4.6477
Sb 1.5362 -8.2359 2.0774
Sb -11.5978 -8.1865 -3.2579
Sb -6.0709 -6.7467 -2.5114
Sb 0.7720 -11.2541 2.2088
Sb -0.2467 -9.0189 6.6060
Sb -1.7489 -4.1734 -1.8157
Sb 2.5446 -9.3655 5.4878
Sb -3.2120 -7.0305 -3.7185
Sb 3.4897 -12.1949 4.5865
```

Results
crystal system	cubic
magnetization	0.21	μB per atom
uncorrected energy	-444.21	eV for the cell shown
uncorrected formation energy	361	meV/atom
mass density	7.6	g/cm3

---

VASP calculation (PBE) on a relaxed structure of PaCo2Sb. Values from VASP.

```
&SYSTEM
  ibrav = 0, nat = 4, ntyp = 3
/
ATOMIC_SPECIES
Sb 121.76 Sb.upf
Pa 231.04 Pa.upf
Co 58.93 Co.upf
CELL_PARAMETERS angstrom
4.5685 0.0000 0.0000
2.2843 3.9565 0.0000
2.2843 1.3188 4.0043
ATOMIC_POSITIONS angstrom
Sb 4.5685 2.6376 2.0021
Pa 0.0000 0.0000 0.0000
Co 6.8528 3.9565 2.3244
Co 2.2843 1.3188 1.6798
```

Results
crystal system	trigonal
magnetization	0.00	μB per atom
uncorrected energy	-29.26	eV for the cell shown
uncorrected formation energy	-358	meV/atom
mass density	10.8	g/cm3

---

VASP calculation (PBE) on a relaxed structure of PaCo2Sb. Values from VASP.

```
&SYSTEM
  ibrav = 0, nat = 4, ntyp = 3
/
ATOMIC_SPECIES
Pa 231.04 Pa.upf
Co 58.93 Co.upf
Sb 121.76 Sb.upf
CELL_PARAMETERS angstrom
-2.0232 -1.6254 2.1245
3.3332 -3.4738 0.5165
0.7118 3.4525 3.3194
ATOMIC_POSITIONS angstrom
Pa 0.0000 0.0000 0.0000
Co 0.6550 -2.5496 1.3205
Co -0.6557 0.9135 2.7219
Sb 1.0109 -0.8234 2.9802
```

Results
crystal system	orthorhombic
magnetization	0.00	μB per atom
uncorrected energy	-27.83	eV for the cell shown
uncorrected formation energy	1	meV/atom
mass density	10.6	g/cm3

---

VASP calculation (PBE) on a relaxed structure of PaCoSb. Values from VASP.

```
&SYSTEM
  ibrav = 0, nat = 3, ntyp = 3
/
ATOMIC_SPECIES
Sb 121.76 Sb.upf
Pa 231.04 Pa.upf
Co 58.93 Co.upf
CELL_PARAMETERS angstrom
-2.9088 -1.4853 2.5510
0.5988 -3.8468 -1.5570
2.2346 1.2962 3.3026
ATOMIC_POSITIONS angstrom
Sb -0.3029 -0.1547 0.2656
Pa -0.6309 -3.0389 1.6195
Co 0.8584 -0.8424 2.4115
```

Results
crystal system	trigonal
magnetization	0.00	μB per atom
uncorrected energy	-22.21	eV for the cell shown
uncorrected formation energy	-495	meV/atom
mass density	10.8	g/cm3

---

The highest uncorrected formation energy belongs to which entry? Pa5Co3Sb12